(1)
# In2FeNi

A relaxed In2FeNi crystal (PBE, the Alexandria database).

Cell and atoms, written as POSCAR:
```
In2FeNi
1.0
-4.217 4.541 6.049
-4.962 1.596 6.916
-2.231 2.877 7.857
Fe Ni In
1 1 2
direct
0.763 0.763 0.763
0.490 0.490 0.490
0.237 0.237 0.237
0.010 0.010 0.010
```

Computed properties:
- SG: R3m (160)
- DFT total energy: -4.631 eV per atom
- Calculated density: 7.8 g cm⁻³
- V: 73.2 Å³/cell

=====

(2)
# PmBeAlAu2

A relaxed PmBeAlAu2 crystal (PBE, the Alexandria database).

Cell and atoms, written as POSCAR:
```
PmBeAlAu2
1.0
-2.012 -3.671 -0.029
2.616 -1.410 -2.949
3.096 0.647 5.408
Pm Al Be Au
1 1 1 2
direct
0.000 0.000 0.000
0.750 0.250 0.500
0.250 0.750 0.500
0.373 0.373 0.747
0.627 0.627 0.253
```

Computed properties:
- SG: I-4m2 (119)
- DFT total energy: -4.296 eV per atom
- Calculated density: 9.9 g cm⁻³
- V: 96.8 Å³/cell

=====

(3)
# Ho3Cu3Ni2

A relaxed Ho3Cu3Ni2 crystal (PBE, the Alexandria database).

Cell and atoms, written as POSCAR:
```
Ho3Cu3Ni2
1.0
5.225 0.000 0.000
0.000 7.151 0.000
0.000 0.000 15.422
Cu Ho Ni
12 12 8
direct
0.404 0.675 0.969
0.904 0.825 0.469
0.096 0.175 0.531
0.128 0.180 0.250
0.596 0.325 0.469
0.596 0.325 0.031
0.628 0.320 0.750
0.404 0.675 0.531
0.904 0.825 0.031
0.372 0.680 0.250
0.872 0.820 0.750
0.096 0.175 0.969
0.377 0.966 0.395
0.366 0.670 0.750
0.123 0.466 0.395
0.134 0.170 0.750
0.866 0.830 0.250
0.123 0.466 0.105
0.623 0.034 0.895
0.623 0.034 0.605
0.377 0.966 0.105
0.877 0.534 0.605
0.877 0.534 0.895
0.634 0.330 0.250
0.127 0.882 0.614
0.873 0.118 0.114
0.373 0.382 0.886
0.873 0.118 0.386
0.127 0.882 0.886
0.373 0.382 0.614
0.627 0.618 0.386
0.627 0.618 0.114
```

Computed properties:
- SG: Pnma (62)
- DFT total energy: -5.041 eV per atom
- Calculated density: 9.3 g cm⁻³
- V: 576.2 Å³/cell